A geometry-optimized TbTm2O structure. Source: the Alexandria database, functional PBE.

Lattice parameters (Å, degrees): 3.454 3.454 8.828 78.72 78.72 60.00
Atoms (fractional coordinates):
Tm: 0.719 0.719 0.842
Tm: 0.281 0.281 0.158
O: 0.000 0.000 0.000
Tb: 0.500 0.500 0.500

Calculated values
- offset from the most stable computed form (meV per atom) = 0
- E_form (uncorrected) (eV per atom) = -1.368
- spin magnetization (μB/cell) = 0.0
- symmetry = R-3m
- E_tot (Ha/atom) = -0.221